! AcNdP2 | the Alexandria database | PBE | relaxed; values from VASP
! Total energy, hartree per atom: -0.2295
! ΔE_f, meV/atom: -1321
! Energy relative to the lowest polymorph listed for this composition, eV/f.u.: 0.645
&SYSTEM
  ibrav = 0, nat = 12, ntyp = 3
/
ATOMIC_SPECIES
Ac 227.00 Ac.upf
Nd 144.24 Nd.upf
P 30.97 P.upf
ATOMIC_POSITIONS crystal
Ac 0.0000 0.0000 0.0000
Ac 0.3333 0.6667 0.6667
Ac 0.6667 0.3333 0.3333
Nd 0.0000 0.0000 0.1707
Nd 0.3333 0.6667 0.8374
Nd 0.6667 0.3333 0.5041
P 0.0000 0.0000 0.4235
P 0.0000 0.0000 0.5832
P 0.3333 0.6667 0.0902
P 0.3333 0.6667 0.2499
P 0.6667 0.3333 0.7569
P 0.6667 0.3333 0.9165
CELL_PARAMETERS angstrom
4.2428 0.0000 0.0000
-2.1214 3.6744 0.0000
0.0000 0.0000 22.0647

***

! AcNdP2 | the Alexandria database | PBE | relaxed; values from VASP
! Total energy, hartree per atom: -0.2200
! ΔE_f, meV/atom: -1062
! Energy relative to the lowest polymorph listed for this composition, eV/f.u.: 1.683
&SYSTEM
  ibrav = 0, nat = 16, ntyp = 3
/
ATOMIC_SPECIES
Ac 227.00 Ac.upf
Nd 144.24 Nd.upf
P 30.97 P.upf
ATOMIC_POSITIONS crystal
Ac 0.0000 0.0000 0.0000
Ac 0.0000 0.5000 0.5000
Ac 0.5000 0.0000 0.5000
Ac 0.5000 0.5000 0.0000
Nd 0.0000 0.0000 0.5000
Nd 0.0000 0.5000 0.0000
Nd 0.5000 0.0000 0.0000
Nd 0.5000 0.5000 0.5000
P 0.2500 0.2500 0.2500
P 0.2500 0.2500 0.7500
P 0.2500 0.7500 0.2500
P 0.2500 0.7500 0.7500
P 0.7500 0.2500 0.2500
P 0.7500 0.2500 0.7500
P 0.7500 0.7500 0.2500
P 0.7500 0.7500 0.7500
CELL_PARAMETERS angstrom
7.3617 0.0000 0.0000
0.0000 7.3617 0.0000
0.0000 0.0000 7.3617